# PBE Y5MgPd6, relaxed
data_Y5MgPd6
_space_group_name_H-M_alt 'P 1'
_space_group_IT_number 1
_cell_length_a 4.932
_cell_length_b 8.509
_cell_length_c 8.509
_cell_angle_alpha 119.73
_cell_angle_beta 106.98
_cell_angle_gamma 106.98
loop_
_space_group_symop_operation_xyz
'x,y,z'
loop_
_atom_site_label
_atom_site_type_symbol
_atom_site_fract_x
_atom_site_fract_y
_atom_site_fract_z
_atom_site_occupancy
Pd1 Pd 0.749 0.583 0.916 1
Pd2 Pd 0.251 0.084 0.417 1
Y1 Y 0.500 0.500 0.500 1
Y2 Y 0.500 0.842 0.158 1
Pd3 Pd 0.758 0.261 0.261 1
Y3 Y 0.000 0.670 0.330 1
Y4 Y 0.000 0.330 0.670 1
Y5 Y 0.500 0.158 0.842 1
Pd4 Pd 0.749 0.916 0.583 1
Pd5 Pd 0.242 0.739 0.739 1
Mg1 Mg 0.000 0.000 0.000 1
Pd6 Pd 0.251 0.417 0.084 1
# E, Ry/atom: -0.4606
# ΔE_f, eV/atom: -0.84
# Total magnetic moment, μB/f.u.: 0.00
# Mass density, g/cm3: 7.3
# Volume, Å³ per cell: 252.23

***

# PBE YMg3Pd2, relaxed
data_YMg3Pd2
_space_group_name_H-M_alt 'P 1'
_space_group_IT_number 1
_cell_length_a 4.049
_cell_length_b 8.504
_cell_length_c 9.093
_cell_angle_alpha 122.74
_cell_angle_beta 90.00
_cell_angle_gamma 103.77
loop_
_space_group_symop_operation_xyz
'x,y,z'
loop_
_atom_site_label
_atom_site_type_symbol
_atom_site_fract_x
_atom_site_fract_y
_atom_site_fract_z
_atom_site_occupancy
Y1 Y 0.129 0.259 0.128 1
Mg1 Mg 0.003 0.006 0.345 1
Mg2 Mg 0.670 0.341 0.472 1
Y2 Y 0.871 0.741 0.872 1
Mg3 Mg 0.330 0.659 0.528 1
Mg4 Mg 0.997 0.994 0.655 1
Pd1 Pd 0.500 0.000 0.150 1
Mg5 Mg 0.667 0.335 0.860 1
Mg6 Mg 0.333 0.665 0.140 1
Pd2 Pd 0.203 0.406 0.701 1
Pd3 Pd 0.797 0.594 0.299 1
Pd4 Pd 0.500 0.000 0.850 1
# E, Ry/atom: -0.3056
# ΔE_f, eV/atom: -0.55
# Total magnetic moment, μB/f.u.: 0.00
# Mass density, g/cm3: 4.9
# Volume, Å³ per cell: 252.57

***

# PBE YMgPd, relaxed
data_YMgPd
_space_group_name_H-M_alt 'P 1'
_space_group_IT_number 1
_cell_length_a 4.004
_cell_length_b 7.543
_cell_length_c 13.322
_cell_angle_alpha 90.00
_cell_angle_beta 90.00
_cell_angle_gamma 90.00
loop_
_space_group_symop_operation_xyz
'x,y,z'
loop_
_atom_site_label
_atom_site_type_symbol
_atom_site_fract_x
_atom_site_fract_y
_atom_site_fract_z
_atom_site_occupancy
Pd1 Pd 0.500 0.059 0.401 1
Y1 Y 0.000 0.228 0.956 1
Y2 Y 0.000 0.847 0.750 1
Pd2 Pd 0.000 0.445 0.750 1
Mg1 Mg 0.500 0.565 0.876 1
Pd3 Pd 0.500 0.941 0.599 1
Pd4 Pd 0.500 0.941 0.901 1
Pd5 Pd 0.500 0.059 0.099 1
Pd6 Pd 0.000 0.555 0.250 1
Mg2 Mg 0.500 0.797 0.250 1
Mg3 Mg 0.500 0.435 0.376 1
Mg4 Mg 0.500 0.565 0.624 1
Mg5 Mg 0.500 0.203 0.750 1
Y3 Y 0.000 0.772 0.044 1
Mg6 Mg 0.500 0.435 0.124 1
Y4 Y 0.000 0.772 0.456 1
Y5 Y 0.000 0.153 0.250 1
Y6 Y 0.000 0.228 0.544 1
# E, Ry/atom: -0.3732
# ΔE_f, eV/atom: -0.66
# Total magnetic moment, μB/f.u.: 0.00
# Mass density, g/cm3: 5.4
# Volume, Å³ per cell: 402.41

***

# PBE Y2MgPd9, relaxed
data_Y2MgPd9
_space_group_name_H-M_alt 'P 1'
_space_group_IT_number 1
_cell_length_a 4.102
_cell_length_b 4.102
_cell_length_c 12.120
_cell_angle_alpha 90.00
_cell_angle_beta 90.00
_cell_angle_gamma 90.00
loop_
_space_group_symop_operation_xyz
'x,y,z'
loop_
_atom_site_label
_atom_site_type_symbol
_atom_site_fract_x
_atom_site_fract_y
_atom_site_fract_z
_atom_site_occupancy
Pd1 Pd 0.500 0.500 0.670 1
Pd2 Pd 0.500 0.500 0.000 1
Pd3 Pd 0.000 0.500 0.157 1
Pd4 Pd 0.000 0.500 0.500 1
Pd5 Pd 0.500 0.500 0.330 1
Pd6 Pd 0.500 0.000 0.843 1
Pd7 Pd 0.500 0.000 0.157 1
Mg1 Mg 0.000 0.000 0.000 1
Pd8 Pd 0.000 0.500 0.843 1
Y1 Y 0.000 0.000 0.327 1
Pd9 Pd 0.500 0.000 0.500 1
Y2 Y 0.000 0.000 0.673 1
# E, Ry/atom: -0.4276
# ΔE_f, eV/atom: -0.71
# Total magnetic moment, μB/f.u.: 0.00
# Mass density, g/cm3: 9.4
# Volume, Å³ per cell: 203.97

***

# PBE Y2Mg3Pd2, relaxed
data_Y2Mg3Pd2
_space_group_name_H-M_alt 'P 1'
_space_group_IT_number 1
_cell_length_a 4.353
_cell_length_b 5.525
_cell_length_c 7.558
_cell_angle_alpha 110.61
_cell_angle_beta 90.00
_cell_angle_gamma 113.20
loop_
_space_group_symop_operation_xyz
'x,y,z'
loop_
_atom_site_label
_atom_site_type_symbol
_atom_site_fract_x
_atom_site_fract_y
_atom_site_fract_z
_atom_site_occupancy
Mg1 Mg 0.500 0.000 0.000 1
Y1 Y 0.142 0.284 0.787 1
Mg2 Mg 0.366 0.733 0.559 1
Mg3 Mg 0.634 0.267 0.441 1
Pd1 Pd 0.851 0.702 0.803 1
Pd2 Pd 0.149 0.298 0.197 1
Y2 Y 0.858 0.716 0.213 1
# E, Ry/atom: -0.3387
# ΔE to the lowest computed polymorph, meV per atom: 0.0
# ΔE_f, eV/atom: -0.59
# Total magnetic moment, μB/f.u.: 0.00
# Mass density, g/cm3: 5.0
# Volume, Å³ per cell: 154.34

***

# PBE YMgPd4, relaxed
data_YMgPd4
_space_group_name_H-M_alt 'P 1'
_space_group_IT_number 1
_cell_length_a 3.924
_cell_length_b 3.934
_cell_length_c 7.857
_cell_angle_alpha 90.00
_cell_angle_beta 90.00
_cell_angle_gamma 90.00
loop_
_space_group_symop_operation_xyz
'x,y,z'
loop_
_atom_site_label
_atom_site_type_symbol
_atom_site_fract_x
_atom_site_fract_y
_atom_site_fract_z
_atom_site_occupancy
Pd1 Pd 0.501 0.997 0.733 1
Pd2 Pd 0.501 0.997 0.264 1
Y1 Y 0.501 0.497 0.998 1
Pd3 Pd 0.001 0.497 0.264 1
Pd4 Pd 0.001 0.497 0.732 1
Mg1 Mg 0.002 0.997 0.498 1
# E, Ry/atom: -0.3866
# ΔE_f, eV/atom: -0.46
# Total magnetic moment, μB/f.u.: 0.00
# Mass density, g/cm3: 7.4
# Volume, Å³ per cell: 121.29